Entry 1:
LiMg2Zn at its PBEsol-relaxed geometry. Source: Alexandria via LeMat-Bulk, functional meta-GGA SCAN.

SG	I-42d, No. 122
energy relative to the elements	114	meV per atom

Unit cell a=7.5434 b=7.5434 c=5.7562 alpha=90.00 beta=90.00 gamma=90.00
Atoms (fractional coordinates):
Li: 0.0000 0.0000 0.0000
Li: 0.0000 0.5000 0.2500
Li: 0.5000 0.0000 0.7500
Li: 0.5000 0.5000 0.5000
Mg: 0.2313 0.7500 0.6250
Mg: 0.2500 0.2313 0.3750
Mg: 0.2500 0.2687 0.8750
Mg: 0.2687 0.7500 0.1250
Mg: 0.7313 0.2500 0.1250
Mg: 0.7500 0.7313 0.8750
Mg: 0.7500 0.7687 0.3750
Mg: 0.7687 0.2500 0.6250
Zn: 0.0000 0.0000 0.5000
Zn: 0.0000 0.5000 0.7500
Zn: 0.5000 0.0000 0.2500
Zn: 0.5000 0.5000 0.0000

Entry 2:
K2TaSe at its PBEsol-relaxed geometry. Source: Alexandria via LeMat-Bulk, functional meta-GGA SCAN.

E_form (uncorrected)	5.84	kcal/mol of atoms
SG	Cm, No. 8

Unit cell a=13.8361 b=3.3625 c=6.0151 alpha=90.00 beta=115.66 gamma=90.00
Atoms (fractional coordinates):
K: 0.0000 0.0000 0.0000
K: 0.1867 0.0000 0.6857
K: 0.5000 0.5000 0.0000
K: 0.6867 0.5000 0.6857
Ta: 0.3087 0.5000 0.3078
Ta: 0.8087 0.0000 0.3078
Se: 0.4598 0.0000 0.4602
Se: 0.9598 0.5000 0.4602

Entry 3:
K3OsF at its PBEsol-relaxed geometry. Source: Alexandria via LeMat-Bulk, functional meta-GGA SCAN.

E_form (uncorrected)	-3.44	kcal/mol of atoms
SG	Pm-3m, No. 221

Unit cell a=5.1213 b=5.1213 c=5.1213 alpha=90.00 beta=90.00 gamma=90.00
Atoms (fractional coordinates):
K: 0.0000 0.0000 0.5000
K: 0.0000 0.5000 0.0000
K: 0.5000 0.0000 0.0000
Os: 0.5000 0.5000 0.5000
F: 0.0000 0.0000 0.0000

Entry 4:
AlRh2Au at its PBEsol-relaxed geometry. Source: Alexandria via LeMat-Bulk, functional meta-GGA SCAN.

SG	P4/mmm, No. 123
energy relative to the elements	-578	meV per atom

Unit cell a=2.9037 b=2.9037 c=6.7543 alpha=90.00 beta=90.00 gamma=90.00
Atoms (fractional coordinates):
Al: 0.0000 0.0000 0.0000
Rh: 0.5000 0.5000 0.2168
Rh: 0.5000 0.5000 0.7832
Au: 0.0000 0.0000 0.5000